Density functional theory data (PBE+U) for a relaxed FeAs2O4 crystal.

Calculated values
Raw total energy (eV per cell): -175.3
ρ (Mg/m³): 4.15
Size of the total moment (μB/cell): 16.0
Fermi-level density of states (states/eV per cell): 0.00

a b c (Å): 8.6314 8.6314 5.7947
angles (deg): 90.00 90.00 90.00
Site moments in Bohr magnetons follow the coordinates.
Sites, in units of the cell vectors:
Fe  0.0000  0.5000  0.2500  3.76
Fe  0.0000  0.5000  0.7500  3.76
Fe  0.5000  0.0000  0.2500  3.76
Fe  0.5000  0.0000  0.7500  3.76
As  0.1742  0.8103  0.5000  0.01
As  0.1897  0.1742  0.0000  0.01
As  0.3103  0.6742  0.0000  0.01
As  0.3258  0.3103  0.5000  0.01
As  0.6742  0.6897  0.5000  0.01
As  0.6897  0.3258  0.0000  0.01
As  0.8103  0.8258  0.0000  0.01
As  0.8258  0.1897  0.5000  0.01
O  0.1088  0.6380  0.0000  0.05
O  0.1380  0.6088  0.5000  0.05
O  0.1850  0.3150  0.2500  0.02
O  0.1850  0.3150  0.7500  0.02
O  0.3150  0.8150  0.2500  0.02
O  0.3150  0.8150  0.7500  0.02
O  0.3620  0.1088  0.5000  0.05
O  0.3912  0.1380  0.0000  0.05
O  0.6088  0.8620  0.0000  0.05
O  0.6380  0.8912  0.5000  0.05
O  0.6850  0.1850  0.2500  0.02
O  0.6850  0.1850  0.7500  0.02
O  0.8150  0.6850  0.2500  0.02
O  0.8150  0.6850  0.7500  0.02
O  0.8620  0.3912  0.5000  0.05
O  0.8912  0.3620  0.0000  0.05